1.
This record from Alexandria describes a relaxed BaZr2UO8 crystal. The functional is PBE.

Cell lengths 5.3232, 5.3248, 7.6299 Å; angles 81.46, 81.47, 78.95 degrees
Atoms (fractional coordinates):
1 Zr 0.5498 0.5499 0.2830
2 Zr 0.4502 0.4501 0.7170
3 O 0.6595 0.6605 0.4949
4 O 0.2176 0.7777 0.7931
5 O 0.2442 0.2430 0.9358
6 O 0.2216 0.7815 0.2072
7 O 0.7824 0.2223 0.2069
8 O 0.3405 0.3395 0.5051
9 Ba 0.0000 0.0000 0.5000
10 O 0.7784 0.2185 0.7928
11 U 0.0000 0.0000 0.0000
12 O 0.7558 0.7570 0.0642

Computed properties:
Its formation energy without anion corrections is -3.11 eV per atom. The total energy comes out at -8.942 eV per atom. As for the space-group type: C2/m (12).

---

2.
This record from Alexandria describes a relaxed ZrRu2 crystal. The functional is PBE.

Cell lengths 4.2725, 4.2725, 6.6509 Å; angles 90.00, 90.00, 120.00 degrees
Atoms (fractional coordinates):
1 Ru 0.6667 0.3333 0.0467
2 Ru 0.6667 0.3333 0.4533
3 Ru 0.3333 0.6667 0.5467
4 Zr 0.0000 0.0000 0.2500
5 Ru 0.3333 0.6667 0.9533
6 Zr 0.0000 0.0000 0.7500

Computed properties:
The total energy comes out at -9.113 eV per atom. As for the energy of formation: -0.08 eV/atom. As for the space-group type: P6_3/mmc (194).

---

3.
This record from Alexandria describes a relaxed ReBIr crystal. The functional is PBE.

Cell lengths 5.0451, 5.0451, 4.4077 Å; angles 94.77, 119.01, 120.24 degrees
Atoms (fractional coordinates):
1 B 0.8518 0.0590 0.9108
2 Re 0.5000 0.5000 0.5000
3 Re 0.0000 0.0000 0.5000
4 B 0.1482 0.9410 0.0892
5 Ir 0.7593 0.3600 0.1193
6 Ir 0.2407 0.6400 0.8807

Computed properties:
The total energy comes out at -9.095 eV per atom. As for the energy of formation: 0.23 eV/atom. As for the space-group type: C2/m (12).

---

4.
This record from Alexandria describes a relaxed K12Pb3O5 crystal. The functional is PBE.

Cell lengths 15.5723, 15.5723, 15.5723 Å; angles 109.47, 109.47, 109.47 degrees
Atoms (fractional coordinates):
1 K 0.0025 0.6015 0.1850
2 O 0.8750 0.6250 0.7500
3 Pb 0.3750 0.7500 0.6250
4 O 0.5000 0.0000 0.0000
5 K 0.9010 0.3175 0.5025
6 O 0.6250 0.7500 0.8750
7 Pb 0.6250 0.3750 0.7500
8 K 0.0990 0.6825 0.4975
9 Pb 0.1250 0.2500 0.8750
10 K 0.0025 0.4010 0.3175
11 K 0.9975 0.3985 0.8150
12 K 0.5990 0.6015 0.9165
13 Pb 0.7500 0.3750 0.1250
14 Pb 0.7500 0.8750 0.6250
15 K 0.6015 0.0025 0.6850
16 O 0.7500 0.1250 0.8750
17 K 0.4165 0.3175 0.3150
18 K 0.4975 0.1825 0.0990
19 K 0.6825 0.0990 0.9975
20 O 0.3750 0.1250 0.7500
21 O 0.2500 0.3750 0.6250
22 O 0.1250 0.7500 0.3750
23 K 0.3985 0.4010 0.5835
24 K 0.1850 0.1015 0.0025
25 K 0.0835 0.8985 0.4010
26 K 0.5835 0.9010 0.3985
27 K 0.3150 0.8175 0.4165
28 K 0.8985 0.0835 0.9010
29 K 0.4010 0.0025 0.8175
30 K 0.9165 0.8150 0.8175
31 K 0.5025 0.6850 0.1015
32 K 0.0990 0.4165 0.1015
33 O 0.5000 0.5000 0.0000
34 K 0.5025 0.8175 0.9010
35 K 0.6850 0.5025 0.6015
36 K 0.9975 0.5990 0.6825
37 K 0.8150 0.8985 0.9975
38 Pb 0.1250 0.8750 0.7500
39 K 0.6850 0.1825 0.5835
40 Pb 0.8750 0.1250 0.2500
41 K 0.3175 0.9010 0.0025
42 K 0.8175 0.5025 0.4010
43 K 0.5835 0.6825 0.6850
44 O 0.0000 0.0000 0.5000
45 Pb 0.2500 0.1250 0.3750
46 O 0.5000 0.5000 0.5000
47 Pb 0.2500 0.6250 0.8750
48 O 0.2500 0.8750 0.1250
49 K 0.3175 0.4165 0.8150
50 K 0.0835 0.1850 0.1825
51 K 0.8175 0.3150 0.9165
52 K 0.1015 0.1850 0.5025
53 K 0.4165 0.0990 0.6015
54 K 0.8985 0.8150 0.4975
55 O 0.0000 0.5000 0.0000
56 K 0.5990 0.9975 0.1825
57 O 0.1250 0.3750 0.2500
58 Pb 0.6250 0.2500 0.3750
59 O 0.7500 0.6250 0.3750
60 K 0.8150 0.9165 0.3175
61 K 0.1015 0.9165 0.0990
62 Pb 0.3750 0.6250 0.2500
63 K 0.4975 0.3150 0.8985
64 K 0.1850 0.0835 0.6825
65 K 0.6015 0.5990 0.4165
66 O 0.5000 0.0000 0.5000
67 O 0.3750 0.2500 0.1250
68 K 0.9165 0.1015 0.5990
69 K 0.9010 0.5835 0.8985
70 K 0.3150 0.4975 0.3985
71 K 0.6825 0.5835 0.1850
72 O 0.8750 0.2500 0.6250
73 O 0.6250 0.8750 0.2500
74 K 0.4010 0.3985 0.0835
75 K 0.1825 0.6850 0.0835
76 O 0.0000 0.5000 0.5000
77 O 0.0000 0.0000 0.0000
78 K 0.3985 0.9975 0.3150
79 K 0.1825 0.4975 0.5990
80 Pb 0.8750 0.7500 0.1250

Computed properties:
Its formation energy without anion corrections is -0.49 eV per atom. The total energy comes out at -2.948 eV per atom. As for the space-group type: Ia-3d (230).

---

5.
This record from Alexandria describes a relaxed KSr3In crystal. The functional is PBE.

Cell lengths 6.5774, 6.5774, 6.5774 Å; angles 90.00, 90.00, 90.00 degrees
Atoms (fractional coordinates):
1 K 0.5000 0.5000 0.5000
2 In 0.0000 0.0000 0.0000
3 Sr 0.0000 0.5000 0.0000
4 Sr 0.0000 0.0000 0.5000
5 Sr 0.5000 0.0000 0.0000

Computed properties:
The total energy comes out at -1.831 eV per atom. As for the energy of formation: -0.05 eV/atom. As for the space-group type: Pm-3m (221).

---

6.
This record from Alexandria describes a relaxed Na7Sn5 crystal. The functional is PBE.

Cell lengths 4.7690, 8.0605, 9.0345 Å; angles 86.43, 90.00, 107.21 degrees
Atoms (fractional coordinates):
1 Na 0.0000 0.0000 0.5000
2 Na 0.6593 0.3186 0.0039
3 Na 0.1685 0.3370 0.7424
4 Na 0.8315 0.6630 0.2576
5 Sn 0.3399 0.6799 0.5186
6 Na 0.4988 0.9975 0.7571
7 Sn 0.6601 0.3201 0.4814
8 Na 0.5012 0.0025 0.2429
9 Sn 0.1719 0.3439 0.2619
10 Na 0.3407 0.6814 0.9961
11 Sn 0.0000 0.0000 0.0000
12 Sn 0.8281 0.6561 0.7381

Computed properties:
The total energy comes out at -2.583 eV per atom. As for the energy of formation: -0.15 eV/atom. As for the space-group type: C2/m (12).

---

7.
This record from Alexandria describes a relaxed Mn2AgTeAs crystal. The functional is PBE.

Cell lengths 4.9571, 5.5792, 4.9571 Å; angles 90.00, 90.00, 90.00 degrees
Atoms (fractional coordinates):
1 Mn 0.5000 0.0000 0.0000
2 Mn 0.0000 0.0000 0.5000
3 Ag 0.5000 0.5000 0.5000
4 As 0.0000 0.5000 0.0000
5 Te 0.0000 0.0000 0.0000

Computed properties:
Its formation energy without anion corrections is 1.04 eV per atom. The total energy comes out at -4.757 eV per atom. As for the space-group type: P4/mmm (123).

---

8.
This record from Alexandria describes a relaxed LiYAu2 crystal. The functional is PBE.

Cell lengths 5.2893, 5.2893, 5.2893 Å; angles 132.78, 132.43, 69.28 degrees
Atoms (fractional coordinates):
1 Au 0.9997 0.9997 0.0000
2 Y 0.2503 0.7503 0.5000
3 Li 0.5010 0.5010 0.0000
4 Au 0.7490 0.2490 0.5000

Computed properties:
The total energy comes out at -4.367 eV per atom. As for the energy of formation: -0.63 eV/atom. As for the space-group type: Imm2 (44).

---

9.
This record from Alexandria describes a relaxed La6CeSm8 crystal. The functional is PBE.

Cell lengths 8.8703, 8.8703, 8.8703 Å; angles 63.01, 63.01, 63.01 degrees
Atoms (fractional coordinates):
1 La 0.9057 0.4600 0.7651
2 Sm 0.2345 0.8855 0.2948
3 Sm 0.8855 0.2948 0.2345
4 La 0.2349 0.0943 0.5400
5 Sm 0.7052 0.7655 0.1145
6 La 0.4600 0.7651 0.9057
7 La 0.7651 0.9057 0.4600
8 Sm 0.1145 0.7052 0.7655
9 Sm 0.2948 0.2345 0.8855
10 Sm 0.5771 0.5771 0.5771
11 Sm 0.7655 0.1145 0.7052
12 La 0.0943 0.5400 0.2349
13 Sm 0.4229 0.4229 0.4229
14 La 0.5400 0.2349 0.0943
15 Ce 0.0000 0.0000 0.0000

Computed properties:
The total energy comes out at -4.770 eV per atom. As for the energy of formation: 0.11 eV/atom. As for the space-group type: R-3 (148).

---

10.
This record from Alexandria describes a relaxed KNaN2 crystal. The functional is PBE.

Cell lengths 8.2387, 8.2387, 8.2387 Å; angles 29.14, 29.14, 29.14 degrees
Atoms (fractional coordinates):
1 K 0.5000 0.5000 0.5000
2 Na 0.0000 0.0000 0.0000
3 N 0.0985 0.0985 0.0985
4 N 0.9015 0.9015 0.9015

Computed properties:
Its formation energy without anion corrections is 1.56 eV per atom. The total energy comes out at -3.207 eV per atom. As for the space-group type: R-3m (166).

---

11.
This record from Alexandria describes a relaxed Ac7La2Dy2 crystal. The functional is PBE.

Cell lengths 7.4364, 10.0928, 7.4363 Å; angles 89.90, 121.44, 90.10 degrees
Atoms (fractional coordinates):
1 La 0.2463 0.5000 0.2463
2 Ac 0.5004 0.6897 0.0000
3 Ac 0.0000 0.6897 0.4996
4 Ac 0.4999 0.8173 0.5001
5 Dy 0.2693 0.9998 0.7307
6 Ac 0.4996 0.3103 0.0000
7 Ac 0.5001 0.1827 0.4999
8 La 0.7537 0.5000 0.7537
9 Ac 0.0000 0.0000 0.0000
10 Ac 0.0000 0.3103 0.5004
11 Dy 0.7307 0.0002 0.2693

Computed properties:
The total energy comes out at -4.031 eV per atom. As for the energy of formation: 0.32 eV/atom. As for the space-group type: C2/m (12).

---

12.
This record from Alexandria describes a relaxed Sr2DyAu4 crystal. The functional is PBE.

Cell lengths 5.3428, 5.3428, 7.8343 Å; angles 109.94, 109.94, 90.00 degrees
Atoms (fractional coordinates):
1 Au 0.6047 0.1047 0.2095
2 Sr 0.2765 0.2765 0.5529
3 Dy 0.0000 0.0000 0.0000
4 Sr 0.7235 0.7235 0.4471
5 Au 0.3953 0.8953 0.7905
6 Au 0.1047 0.6047 0.2095
7 Au 0.8953 0.3953 0.7905

Computed properties:
The total energy comes out at -3.641 eV per atom. As for the energy of formation: -0.63 eV/atom. As for the space-group type: I4/mmm (139).

---

13.
This record from Alexandria describes a relaxed BP2C crystal. The functional is PBE.

Cell lengths 4.8883, 2.6292, 7.6262 Å; angles 90.00, 98.76, 90.00 degrees
Atoms (fractional coordinates):
1 C 0.2186 0.5000 0.8107
2 B 0.2093 0.0000 0.6993
3 B 0.2093 0.5000 0.1993
4 P 0.4803 0.0000 0.5145
5 P 0.9423 0.5000 0.9703
6 P 0.4803 0.5000 0.0146
7 C 0.2186 0.0000 0.3107
8 P 0.9423 0.0000 0.4703

Computed properties:
The total energy comes out at -6.463 eV per atom. As for the energy of formation: 0.22 eV/atom. As for the space-group type: Cm (8).

---

14.
This record from Alexandria describes a relaxed Li3Y3PtO8 crystal. The functional is PBE.

Cell lengths 6.6468, 6.6468, 6.2882 Å; angles 121.91, 90.00, 120.00 degrees
Atoms (fractional coordinates):
1 O 0.2292 0.4584 0.7321
2 Pt 0.0000 0.0000 0.5000
3 O 0.2262 0.9970 0.2679
4 O 0.7738 0.0030 0.7321
5 Li 0.0000 0.0000 0.0000
6 Y 0.5000 0.5000 0.5000
7 O 0.7436 0.4872 0.7307
8 O 0.7708 0.5416 0.2679
9 Y 0.0000 0.5000 0.5000
10 O 0.2564 0.5128 0.2693
11 O 0.2292 0.0030 0.7321
12 Li 0.5000 0.5000 0.0000
13 Y 0.5000 0.0000 0.5000
14 Li 0.0000 0.5000 0.0000
15 O 0.7708 0.9970 0.2679

Computed properties:
Its formation energy without anion corrections is -2.38 eV per atom. The total energy comes out at -7.102 eV per atom. As for the space-group type: R-3m (166).

---

15.
This record from Alexandria describes a relaxed La4TlIn5 crystal. The functional is PBE.

Cell lengths 5.1986, 6.7408, 9.0694 Å; angles 98.32, 106.65, 90.00 degrees
Atoms (fractional coordinates):
1 In 0.5000 0.5000 0.0000
2 La 0.9038 0.2006 0.8076
3 In 0.7303 0.8639 0.4605
4 In 0.9091 0.6932 0.8182
5 La 0.0962 0.7994 0.1924
6 La 0.3094 0.6477 0.6188
7 In 0.2697 0.1361 0.5395
8 In 0.0909 0.3068 0.1818
9 La 0.6906 0.3523 0.3812
10 Tl 0.5000 0.0000 0.0000

Computed properties:
The total energy comes out at -4.030 eV per atom. As for the energy of formation: -0.45 eV/atom. As for the space-group type: C2/m (12).

---

16.
This record from Alexandria describes a relaxed Pm2SmTm7 crystal. The functional is PBE.

Cell lengths 6.0963, 10.5515, 11.1259 Å; angles 137.30, 122.99, 39.96 degrees
Atoms (fractional coordinates):
1 Sm 0.0000 0.0000 0.0000
2 Tm 0.8982 0.9017 0.6010
3 Tm 0.8011 0.7977 0.1982
4 Tm 0.5000 0.5000 0.0000
5 Tm 0.2986 0.2997 0.1989
6 Pm 0.4044 0.3973 0.5998
7 Tm 0.7014 0.7003 0.8011
8 Tm 0.1989 0.2023 0.8018
9 Pm 0.5956 0.6027 0.4002
10 Tm 0.1018 0.0983 0.3990

Computed properties:
The total energy comes out at -4.530 eV per atom. As for the energy of formation: 0.02 eV/atom. As for the space-group type: P-1 (2).

---

17.
This record from Alexandria describes a relaxed CaFe2Hg crystal. The functional is PBE.

Cell lengths 9.5673, 9.5673, 9.5673 Å; angles 18.37, 18.37, 18.37 degrees
Atoms (fractional coordinates):
1 Ca 0.7500 0.7500 0.7500
2 Fe 0.9962 0.9962 0.9962
3 Fe 0.5038 0.5038 0.5038
4 Hg 0.2500 0.2500 0.2500

Computed properties:
The total energy comes out at -4.098 eV per atom. As for the energy of formation: 0.71 eV/atom. As for the space-group type: R-3m (166).

---

18.
This record from Alexandria describes a relaxed NaSr2V crystal. The functional is PBE.

Cell lengths 5.9236, 5.9236, 5.9236 Å; angles 60.00, 60.00, 60.00 degrees
Atoms (fractional coordinates):
1 Sr 0.2500 0.2500 0.2500
2 Sr 0.7500 0.7500 0.7500
3 V 0.5000 0.5000 0.5000
4 Na 0.0000 0.0000 0.0000

Computed properties:
The total energy comes out at -2.915 eV per atom. As for the energy of formation: 0.54 eV/atom. As for the space-group type: Fm-3m (225).